[1]
Li3CuAu5 | GGA-PBE | relaxed

Computed properties:
ΔH_f (0 K): -369 meV/atom
N(E_F): 0.137 states/eV per atom
total magnetization: 0.0 μB per formula unit

abc: 7.7985 7.7985 5.4346
angles: 90.00 90.00 120.00
Space group P6_3/mcm (No. 193)
One atom of each set of equivalent atoms:
Li: 0.0000 0.3594 0.2500
Cu: 0.0000 0.0000 0.0000
Au: 0.0000 0.2995 0.7500
Au: 0.3333 0.6667 0.0000

***

[2]
NaIBr3 | GGA-PBE | relaxed

Computed properties:
E above lowest polymorph: 504 meV/atom
E_form (uncorrected): -0.120 eV per atom
N(E_F): 1.201 states/eV per atom
total magnetization: 3.0 μB per formula unit

abc: 5.602 5.602 5.602
angles: 90.00 90.00 90.00
Space group Pm-3m (No. 221)
One atom of each set of equivalent atoms:
Na: 0.000 0.000 0.000
I: 0.500 0.500 0.500
Br: 0.000 0.000 0.500

***

[3]
V3ReRu | GGA-PBE | relaxed

Computed properties:
ΔH_f (0 K): -277 meV/atom
E above lowest polymorph: 0 meV/atom
N(E_F): 0.776 states/eV per atom
total magnetization: 0.0 μB per formula unit

abc: 9.087 4.217 7.499
angles: 90.00 106.79 90.00
Space group C2/m (No. 12)
One atom of each set of equivalent atoms:
V: 0.045 0.000 0.351
V: 0.149 0.000 0.050
V: 0.247 0.500 0.248
Re: 0.052 0.500 0.850
Ru: 0.158 0.500 0.550

***

[4]
La3TlGa | GGA-PBE | relaxed

Computed properties:
ΔH_f (0 K): -362 meV/atom
E above lowest polymorph: 44 meV/atom
N(E_F): 0.968 states/eV per atom
total magnetization: 0.0 μB per formula unit

abc: 10.565 12.061 9.815
angles: 90.00 90.00 90.00
Space group Cmce (No. 64)
One atom of each set of equivalent atoms:
La: 0.000 0.072 0.153
La: 0.179 0.127 0.573
Tl: 0.000 0.206 0.858
Ga: 0.250 0.155 0.250

***

[5]
Li3GaRu | GGA-PBE | relaxed

Computed properties:
ΔH_f (0 K): 755 meV/atom
E above lowest polymorph: 0 meV/atom
N(E_F): 0.452 states/eV per atom
total magnetization: 0.1 μB per formula unit

abc: 4.557 4.557 4.557
angles: 90.00 90.00 90.00
Space group Pm-3m (No. 221)
One atom of each set of equivalent atoms:
Li: 0.000 0.000 0.500
Ga: 0.500 0.500 0.500
Ru: 0.000 0.000 0.000

***

[6]
UTe2I4 | GGA-PBE | relaxed

Computed properties:
E_form (uncorrected): -0.471 eV per atom
N(E_F): 1.524 states/eV per atom
total magnetization: 2.1 μB per formula unit

abc: 19.029 4.599 8.544
angles: 90.00 94.44 90.00
Space group C2/m (No. 12)
One atom of each set of equivalent atoms:
U: 0.000 0.000 0.000
Te: 0.249 0.000 0.411
I: 0.036 0.500 0.240
I: 0.146 0.000 0.915

***

[7]
CaSi2Tc | GGA-PBE | relaxed

Computed properties:
E above lowest polymorph: 613 meV/atom
E_form (uncorrected): 0.158 eV per atom
N(E_F): 0.940 states/eV per atom
total magnetization: 0.0 μB per formula unit

abc: 3.157 4.560 9.527
angles: 90.00 90.00 90.00
Space group Imm2 (No. 44)
One atom of each set of equivalent atoms:
Ca: 0.000 0.000 0.000
Si: 0.000 0.000 0.525
Si: 0.000 0.500 0.790
Tc: 0.000 0.500 0.225

***

[8]
CaVTc3 | GGA-PBE | relaxed

Computed properties:
ΔH_f (0 K): 855 meV/atom
E above lowest polymorph: 0 meV/atom
N(E_F): 0.963 states/eV per atom
total magnetization: 2.4 μB per formula unit

abc: 4.593 4.593 4.593
angles: 90.00 90.00 90.00
Space group Pm-3m (No. 221)
One atom of each set of equivalent atoms:
Ca: 0.000 0.000 0.000
V: 0.500 0.500 0.500
Tc: 0.000 0.500 0.500

***

[9]
Ba2Sr3Rh2 | GGA-PBE | relaxed

Computed properties:
ΔH_f (0 K): -180 meV/atom
N(E_F): 0.643 states/eV per atom
total magnetization: 0.0 μB per formula unit

abc: 4.288 7.192 9.588
angles: 69.22 77.13 72.70
Space group P-1 (No. 2)
One atom of each set of equivalent atoms:
Ba: 0.176 0.452 0.196
Sr: 0.372 0.835 0.421
Sr: 0.500 0.000 0.000
Rh: 0.175 0.878 0.774

***

[10]
Sr2LiTlI6 | GGA-PBE | relaxed

Computed properties:
E_form (uncorrected): -1.363 eV per atom
N(E_F): 0.000 states/eV per atom
total magnetization: 0.0 μB per formula unit

abc: 8.2592 8.2592 22.5037
angles: 90.00 90.00 120.00
Space group R3 (No. 146, hexagonal axes)
One atom of each set of equivalent atoms:
Sr: 0.0000 0.0000 0.0000
Sr: 0.0000 0.0000 0.4900
Li: 0.0000 0.0000 0.6771
Tl: 0.0000 0.0000 0.1901
I: 0.0062 0.3523 0.4184
I: 0.0194 0.7186 0.5929

***

[11]
Mg2BiO | GGA-PBE | relaxed

Computed properties:
E above lowest polymorph: 0 meV/atom
E_form (uncorrected): -1.219 eV per atom
N(E_F): 0.820 states/eV per atom
total magnetization: 0.0 μB per formula unit

abc: 6.217 6.217 8.573
angles: 90.00 90.00 90.00
Space group I-42d (No. 122)
One atom of each set of equivalent atoms:
Mg: 0.103 0.750 0.125
Bi: 0.000 0.000 0.500
O: 0.000 0.000 0.000

***

[12]
KAsCl | GGA-PBE | relaxed

Computed properties:
E above lowest polymorph: 306 meV/atom
E_form (uncorrected): -0.082 eV per atom
total magnetization: 3.0 μB per formula unit

abc: 7.786 7.786 7.786
angles: 90.00 90.00 90.00
Space group F-43m (No. 216)
One atom of each set of equivalent atoms:
K: 0.000 0.000 0.000
As: 0.250 0.250 0.250
Cl: 0.000 0.000 0.500

***

Calculated VASP energy in order - -3.282; -1.698; -10.093; -4.397; -2.854; -3.867; -5.645; -7.589; -3.550; -3.058; -4.226; -2.614 eV/atom